Record 1
## LiScSn (PBE)

Data for a geometry-optimized LiScSn structure.

Formation energy from the elements (eV per atom): -0.2397
VASP energy (eV/cell): -25.9

Unit cell a=3.332 b=3.332 c=12.099 alpha=97.92 beta=97.92 gamma=90.00
Positions (direct):
Li: 0.282 0.282 0.565
Li: 0.718 0.718 0.435
Sc: 0.566 0.566 0.132
Sc: 0.434 0.434 0.868
Sn: 0.150 0.150 0.300
Sn: 0.850 0.850 0.700

=====

Record 2
## LiSc2Sn2 (PBE)

Data for a geometry-optimized LiSc2Sn2 structure.

Formation energy from the elements (eV per atom): -0.5077
Distance to the lowest polymorph of the same formula (kJ/mol of formula units): 0.0
VASP energy (eV/cell): -50.2

Unit cell a=7.246 b=7.246 c=4.327 alpha=90.00 beta=90.00 gamma=90.00
Positions (direct):
Sc: 0.167 0.667 0.500
Sc: 0.667 0.833 0.500
Sc: 0.833 0.333 0.500
Sc: 0.333 0.167 0.500
Sn: 0.359 0.859 0.000
Sn: 0.859 0.641 0.000
Sn: 0.641 0.141 0.000
Sn: 0.141 0.359 0.000
Li: 0.000 0.000 0.000
Li: 0.500 0.500 0.000

=====

Record 3
## LiScSn (PBE)

Data for a geometry-optimized LiScSn structure.

Formation energy from the elements (eV per atom): -0.3849
VASP energy (eV/cell): -26.8

Unit cell a=15.643 b=8.012 c=8.012 alpha=145.30 beta=158.57 gamma=21.43
Positions (direct):
Sc: 0.367 0.893 0.107
Sc: 0.857 0.221 0.779
Sn: 0.358 0.260 0.740
Sn: 0.365 0.536 0.464
Li: 0.864 0.895 0.105
Li: 0.877 0.566 0.434

=====

Record 4
## LiScSn (PBE)

Data for a geometry-optimized LiScSn structure.

Formation energy from the elements (eV per atom): -0.4752
VASP energy (eV/cell): -27.3

Unit cell a=16.229 b=3.529 c=8.612 alpha=78.18 beta=19.56 gamma=90.00
Positions (direct):
Sc: 0.683 0.000 0.000
Sc: 0.317 0.000 0.000
Sn: 0.132 0.000 0.000
Sn: 0.868 0.000 0.000
Li: 0.000 0.500 0.000
Li: 0.500 0.500 0.000

=====

Record 5
## LiScSn2 (PBE)

Data for a geometry-optimized LiScSn2 structure.

Formation energy from the elements (eV per atom): -0.2444
VASP energy (eV/cell): -17.2

Unit cell a=4.246 b=4.246 c=6.779 alpha=71.75 beta=71.75 gamma=60.00
Positions (direct):
Li: 0.494 0.494 0.519
Sc: 0.672 0.672 0.983
Sn: 0.092 0.092 0.725
Sn: 0.242 0.242 0.273

=====

Record 6
## LiSc2Sn2 (PBE)

Data for a geometry-optimized LiSc2Sn2 structure.

Formation energy from the elements (eV per atom): -0.3888
Distance to the lowest polymorph of the same formula (kJ/mol of formula units): 57.3
VASP energy (eV/cell): -49.1

Unit cell a=5.994 b=6.057 c=7.464 alpha=113.94 beta=113.67 gamma=90.00
Positions (direct):
Li: 0.750 0.500 0.000
Li: 0.250 0.500 0.000
Sc: 0.834 0.570 0.667
Sc: 0.166 0.430 0.333
Sc: 0.666 0.903 0.333
Sc: 0.334 0.097 0.667
Sn: 0.403 0.695 0.806
Sn: 0.597 0.305 0.194
Sn: 0.097 0.889 0.194
Sn: 0.903 0.111 0.806

=====

Record 7
## LiScSn3 (PBE)

Data for a geometry-optimized LiScSn3 structure.

Formation energy from the elements (eV per atom): 0.1702
Distance to the lowest polymorph of the same formula (kJ/mol of formula units): 253.3
VASP energy (eV/cell): -19.4

Unit cell a=5.509 b=5.509 c=5.509 alpha=90.00 beta=90.00 gamma=90.00
Positions (direct):
Sc: 0.000 0.000 0.000
Sn: 0.000 0.500 0.000
Sn: 0.000 0.000 0.500
Sn: 0.500 0.000 0.000
Li: 0.500 0.500 0.500

=====

Record 8
## LiScSn3 (PBE)

Data for a geometry-optimized LiScSn3 structure.

Formation energy from the elements (eV per atom): 0.0982
Distance to the lowest polymorph of the same formula (kJ/mol of formula units): 218.5
VASP energy (eV/cell): -19.8

Unit cell a=4.961 b=4.961 c=4.961 alpha=90.00 beta=90.00 gamma=90.00
Positions (direct):
Sc: 0.500 0.500 0.500
Sn: 0.000 0.500 0.000
Sn: 0.000 0.000 0.500
Sn: 0.500 0.000 0.000
Li: 0.000 0.000 0.000